No. 1
NaTl9Pb4: relaxed, PBE.

For the total magnetic moment, the calculation gives 0.000 μB per formula unit. As for the total energy: -2.65 eV/atom. The value obtained for the formation energy from the elements is 24 meV/atom.

The structure belongs to space group P6_3/mmc (No. 194); the cell edges are 9.7633, 9.7633 and 10.9783 Å and the angles 90.00°, 90.00° and 120.00°. The distinct sites, in fractional coordinates, are Na at (0.3333, 0.6667, 0.2500), Tl at (0.0816, 0.5408, 0.7500), Tl at (0.2051, 0.4102, 0.0363), Pb at (0.0000, 0.0000, 0.0000) and Pb at (0.1135, 0.2270, 0.7500).


No. 2
Ba2NaCaHg: relaxed, PBE.

For the excess energy over the best structure of this formula in the dataset, the calculation gives 0.35 eV per formula unit. For the total magnetic moment, the calculation gives 0.000 μB per formula unit. As for the total energy: -1.55 eV/atom. The value obtained for the formation energy from the elements is -53 meV/atom.

The structure belongs to space group P4/mmm (No. 123); the cell edges are 6.673, 6.673 and 5.758 Å and the angles 90.00°, 90.00° and 90.00°. The distinct sites, in fractional coordinates, are Ba at (0.000, 0.500, 0.000), Na at (0.000, 0.000, 0.500), Ca at (0.500, 0.500, 0.500) and Hg at (0.000, 0.000, 0.000).


No. 3
ReOs6: relaxed, PBE.

For the excess energy over the best structure of this formula in the dataset, the calculation gives 0.97 eV per formula unit. For the total magnetic moment, the calculation gives 0.000 μB per formula unit. As for the total energy: -11.15 eV/atom. The value obtained for the formation energy from the elements is 254 meV/atom.

The structure belongs to space group Cmmm (No. 65); the cell edges are 4.086, 18.418 and 2.725 Å and the angles 90.00°, 90.00° and 90.00°. The distinct sites, in fractional coordinates, are Re at (0.000, 0.000, 0.000), Os at (0.000, 0.150, 0.000), Os at (0.000, 0.288, 0.500) and Os at (0.000, 0.427, 0.500).


No. 4
LaTb6Pr12: relaxed, PBE.

For the excess energy over the best structure of this formula in the dataset, the calculation gives 1.10 eV per formula unit. For the total magnetic moment, the calculation gives 0.000 μB per formula unit. As for the total energy: -4.56 eV/atom. The value obtained for the formation energy from the elements is 183 meV/atom.

The structure belongs to space group R-3m (No. 166, hexagonal axes); the cell edges are 13.6917, 13.6917 and 12.6772 Å and the angles 90.00°, 90.00° and 120.00°. The distinct sites, in fractional coordinates, are La at (0.0000, 0.0000, 0.0000), Tb at (0.0429, 0.5214, 0.6194), Pr at (0.0000, 0.2596, 0.5000) and Pr at (0.0902, 0.1803, 0.2625).


No. 5
HfCo2Os: relaxed, PBE.

For the excess energy over the best structure of this formula in the dataset, the calculation gives 0.45 eV per formula unit. For the total magnetic moment, the calculation gives 3.535 μB per formula unit. As for the total energy: -8.90 eV/atom. The value obtained for the formation energy from the elements is -53 meV/atom.

The structure belongs to space group Fm-3m (No. 225); the cell edges are 6.092, 6.092 and 6.092 Å and the angles 90.00°, 90.00° and 90.00°. The distinct sites, in fractional coordinates, are Hf at (0.000, 0.000, 0.000), Co at (0.250, 0.250, 0.250) and Os at (0.000, 0.000, 0.500).


No. 6
La5Tm3As8: relaxed, PBE.

For the total magnetic moment, the calculation gives 0.000 μB per formula unit. As for the total energy: -6.23 eV/atom. The value obtained for the formation energy from the elements is -1524 meV/atom.

The structure belongs to space group R-3m (No. 166, hexagonal axes); the cell edges are 8.5302, 8.5302 and 20.8549 Å and the angles 90.00°, 90.00° and 120.00°. The distinct sites, in fractional coordinates, are La at (0.0000, 0.0000, 0.0000), La at (0.0000, 0.0000, 0.5000), La at (0.0000, 0.5000, 0.0000), Tm at (0.0000, 0.5000, 0.5000), As at (0.0000, 0.0000, 0.2445) and As at (0.0076, 0.5038, 0.7538).


No. 7
NaSeI2N: relaxed, PBE.

The value obtained for the uncorrected formation energy is 1.34 eV/atom. For the excess energy over the best structure of this formula in the dataset, the calculation gives 5.41 eV per formula unit. For the total magnetic moment, the calculation gives 0.000 μB per formula unit. As for the total energy: -1.90 eV/atom.

The structure belongs to space group P4/mmm (No. 123); the cell edges are 5.719, 5.719 and 4.275 Å and the angles 90.00°, 90.00° and 90.00°. The distinct sites, in fractional coordinates, are Na at (0.000, 0.000, 0.000), Se at (0.500, 0.500, 0.500), I at (0.000, 0.500, 0.000) and N at (0.000, 0.000, 0.500).


No. 8
La2MoBr: relaxed, PBE.

The value obtained for the uncorrected formation energy is 0.07 eV/atom. For the excess energy over the best structure of this formula in the dataset, the calculation gives 1.76 eV per formula unit. For the total magnetic moment, the calculation gives 1.084 μB per formula unit. As for the total energy: -5.52 eV/atom.

The structure belongs to space group Fm-3m (No. 225); the cell edges are 7.497, 7.497 and 7.497 Å and the angles 90.00°, 90.00° and 90.00°. The distinct sites, in fractional coordinates, are La at (0.250, 0.250, 0.250), Mo at (0.000, 0.000, 0.000) and Br at (0.000, 0.000, 0.500).


No. 9
Zn6O6He: relaxed, PBE.

The value obtained for the uncorrected formation energy is -1.26 eV/atom. For the total magnetic moment, the calculation gives 0.000 μB per formula unit. As for the total energy: -4.13 eV/atom.

The structure belongs to space group Pm-3 (No. 200); the cell edges are 5.676, 5.676 and 5.676 Å and the angles 90.00°, 90.00° and 90.00°. The distinct sites, in fractional coordinates, are Zn at (0.000, 0.250, 0.500), O at (0.000, 0.500, 0.250) and He at (0.000, 0.000, 0.000).


No. 10
Pm2ErAu3: relaxed, PBE.

For the excess energy over the best structure of this formula in the dataset, the calculation gives 0.04 eV per formula unit. For the total magnetic moment, the calculation gives 0.000 μB per formula unit. As for the total energy: -4.79 eV/atom. The value obtained for the formation energy from the elements is -812 meV/atom.

The structure belongs to space group Pmmn (No. 59, origin choice 2); the cell edges are 5.153, 15.625 and 3.630 Å and the angles 90.00°, 90.00° and 90.00°. The distinct sites, in fractional coordinates, are Pm at (0.250, 0.082, 0.002), Er at (0.250, 0.750, 0.998), Au at (0.250, 0.250, 0.500) and Au at (0.250, 0.594, 0.497).


No. 11
Tb2NdScTe4: relaxed, PBE.

The value obtained for the uncorrected formation energy is -1.27 eV/atom. For the total magnetic moment, the calculation gives 0.000 μB per formula unit. As for the total energy: -5.38 eV/atom.

The structure belongs to space group P2/m (No. 10); the cell edges are 7.542, 4.317 and 7.623 Å and the angles 90.00°, 108.94° and 90.00°. The distinct sites, in fractional coordinates, are Tb at (0.000, 0.000, 0.000), Tb at (0.000, 0.500, 0.500), Nd at (0.500, 0.000, 0.500), Sc at (0.500, 0.500, 0.000), Te at (0.249, 0.500, 0.238) and Te at (0.257, 0.000, 0.764).


No. 12
AcNd2Ru: relaxed, PBE.

For the excess energy over the best structure of this formula in the dataset, the calculation gives 1.20 eV per formula unit. For the total magnetic moment, the calculation gives 0.000 μB per formula unit. As for the total energy: -5.61 eV/atom. The value obtained for the formation energy from the elements is 123 meV/atom.

The structure belongs to space group R-3m (No. 166, hexagonal axes); the cell edges are 3.9443, 3.9443 and 32.6605 Å and the angles 90.00°, 90.00° and 120.00°. The distinct sites, in fractional coordinates, are Ac at (0.0000, 0.0000, 0.0000), Nd at (0.0000, 0.0000, 0.1169) and Ru at (0.0000, 0.0000, 0.5000).